Here is crystalline BaHf2Pd at its relaxed geometry from Alexandria via LeMat-Bulk. Energies are from PBE.

Calculated values
- uncorrected energy (eV/atom) = -6.299
- distance to the lowest polymorph of the same formula (meV/atom) = 0
- energy relative to the elements (eV per atom) = 0.457
- density of states at the Fermi level (states/eV/f.u.) = 4.7
- calculated volume (Å³ per cell) = 88.5

Geometry as POSCAR:
```
BaHf2Pd
1.0
1.4968 -3.2641 3.4828
0.8174 1.5434 4.6877
-3.1254 -1.3595 3.6618
Pd Hf Ba
1 2 1
direct
0.0000 0.0000 0.0000
0.7500 0.7500 0.7500
0.2500 0.2500 0.2500
0.5000 0.5000 0.5000
```